The following is a DFT calculation (meta-GGA SCAN) of a crystal of La2CdRh2 relaxed with PBEsol.

Properties
* crystal system: tetragonal
* raw total energy: -37.42 eV/atom
* Fermi-level density of states: 5.10 states/eV per cell

Structure (POSCAR):
```
La2CdRh2
1.0
5.433 0.000 0.000
0.000 5.433 0.000
0.000 0.000 8.144
La Cd Rh
4 2 4
Cartesian
0.000 2.717 2.036
0.000 2.717 6.108
2.717 0.000 2.036
2.717 0.000 6.108
0.000 0.000 0.000
2.717 2.717 4.072
0.000 0.000 2.718
0.000 0.000 5.425
2.717 2.717 1.354
2.717 2.717 6.790
```

=====

The following is a DFT calculation (meta-GGA SCAN) of a crystal of La2TcIBr relaxed with PBEsol.

Properties
* formation energy from raw total energies: -0.047 eV/atom
* crystal system: tetragonal
* raw total energy: -35.54 eV/atom
* Fermi-level density of states: 4.39 states/eV per cell

Structure (POSCAR):
```
La2TcIBr
1.0
5.702 0.000 0.000
0.000 5.702 0.000
0.000 0.000 4.451
La Tc I Br
2 1 1 1
Cartesian
0.000 2.851 0.000
2.851 0.000 0.000
0.000 0.000 2.226
2.851 2.851 2.226
0.000 0.000 0.000
```

=====

The following is a DFT calculation (meta-GGA SCAN) of a crystal of MnP3C relaxed with PBEsol.

Properties
* crystal system: cubic
* raw total energy: -10.87 eV/atom
* Fermi-level density of states: 2.07 states/eV per cell

Structure (POSCAR):
```
MnP3C
1.0
3.933 0.000 0.000
0.000 3.933 0.000
0.000 0.000 3.933
Mn P C
1 3 1
Cartesian
0.000 0.000 0.000
0.000 1.966 1.966
1.966 0.000 1.966
1.966 1.966 0.000
1.966 1.966 1.966
```

=====

The following is a DFT calculation (meta-GGA SCAN) of a crystal of SrLiY relaxed with PBEsol.

Properties
* crystal system: tetragonal
* raw total energy: -17.33 eV/atom
* Fermi-level density of states: 8.28 states/eV per cell

Structure (POSCAR):
```
SrLiY
1.0
3.785 0.000 0.000
0.000 3.785 0.000
0.000 0.000 13.734
Sr Li Y
2 2 2
Cartesian
0.000 0.000 0.000
1.893 1.893 6.867
0.000 0.000 9.115
1.893 1.893 2.248
0.000 0.000 4.046
1.893 1.893 10.912
```

=====

The following is a DFT calculation (meta-GGA SCAN) of a crystal of CuRuSe2 relaxed with PBEsol.

Properties
* formation energy from raw total energies: -0.036 eV/atom
* crystal system: trigonal
* raw total energy: -22.58 eV/atom
* Fermi-level density of states: 12.31 states/eV per cell

Structure (POSCAR):
```
CuRuSe2
1.0
3.615 0.000 0.000
-1.807 3.130 0.000
0.000 0.000 21.401
Cu Ru Se
3 3 6
Cartesian
0.000 0.000 0.000
0.000 2.087 14.268
1.807 1.043 7.134
0.000 0.000 10.701
0.000 2.087 3.567
1.807 1.043 17.835
0.000 0.000 2.254
0.000 0.000 19.147
0.000 2.087 12.013
0.000 2.087 16.522
1.807 1.043 4.880
1.807 1.043 9.388
```

=====

The following is a DFT calculation (meta-GGA SCAN) of a crystal of AlCr3Br relaxed with PBEsol.

Properties
* formation energy from raw total energies: 1.319 eV/atom
* crystal system: cubic
* raw total energy: -15.15 eV/atom
* Fermi-level density of states: 4.93 states/eV per cell

Structure (POSCAR):
```
AlCr3Br
1.0
4.284 0.000 0.000
0.000 4.284 0.000
0.000 0.000 4.284
Al Cr Br
1 3 1
Cartesian
0.000 0.000 0.000
0.000 2.142 2.142
2.142 0.000 2.142
2.142 2.142 0.000
2.142 2.142 2.142
```

=====

- The highest Fermi-level density of states belongs to which entry?
  CuRuSe2